# BaLiLa2Rh

A relaxed structure of BaLiLa2Rh (PBE, Alexandria).

Cell lengths 5.540, 5.540, 6.402 Å; angles 90.00, 90.00, 90.00 degrees
Atoms (fractional coordinates):
Ba 0.000 0.000 0.000
Li 0.500 0.500 0.000
La 0.000 0.500 0.500
La 0.500 0.000 0.500
Rh 0.000 0.000 0.500

Calculated values
excess energy over the best structure of this formula in the dataset	0.26	kcal/mol of atoms
formation enthalpy at 0 K	-171	meV/atom
total energy	-4.380	eV/atom
N(E_F)	0.83	states/eV/atom
M_tot	0.00	Bohr magnetons per cell
calculated volume	196.5	Å³/cell

---

# Ba2LiLaRu

A relaxed structure of Ba2LiLaRu (PBE, Alexandria).

Cell lengths 6.357, 6.357, 5.166 Å; angles 90.00, 90.00, 90.00 degrees
Atoms (fractional coordinates):
Ba 0.000 0.500 0.000
Ba 0.500 0.000 0.000
Li 0.000 0.000 0.500
La 0.500 0.500 0.500
Ru 0.500 0.500 0.000

Calculated values
formation enthalpy at 0 K	81	meV/atom
total energy	-3.912	eV/atom
N(E_F)	0.72	states/eV/atom
M_tot	0.00	Bohr magnetons per cell
calculated volume	208.8	Å³/cell